## a
A plane-wave DFT calculation with PBE was carried out for a geometry-optimized CaZrZn structure. Values from VASP.

The magnetization comes out at 0.1 μB/f.u. As for the density of states at the Fermi level: 3.094 states/eV/f.u.

Quantum ESPRESSO input file:
```
&SYSTEM
  ibrav = 0, nat = 3, ntyp = 3
/
ATOMIC_SPECIES
Zn 65.41 Zn.upf
Ca 40.08 Ca.upf
Zr 91.22 Zr.upf
ATOMIC_POSITIONS angstrom
Zn -0.009 -3.212 0.468
Ca 0.073 -0.149 -0.056
Zr 0.151 -4.637 -2.013
CELL_PARAMETERS angstrom
-0.376 -1.363 3.110
-2.483 -0.331 -2.322
3.075 -6.304 -2.390
```

## b
A plane-wave DFT calculation with PBE was carried out for a geometry-optimized CaZrZn structure. Values from VASP.

The magnetization comes out at 0.0 μB/f.u. As for the density of states at the Fermi level: 1.306 states/eV/f.u.

Quantum ESPRESSO input file:
```
&SYSTEM
  ibrav = 0, nat = 3, ntyp = 3
/
ATOMIC_SPECIES
Zn 65.41 Zn.upf
Ca 40.08 Ca.upf
Zr 91.22 Zr.upf
ATOMIC_POSITIONS angstrom
Zn -4.875 -1.221 -1.545
Ca -8.955 -7.186 -5.927
Zr -7.208 -4.632 -4.050
CELL_PARAMETERS angstrom
-4.296 -2.772 -4.441
-4.754 -4.554 -1.589
-2.937 1.614 0.538
```

b is the most stable structure; the next one sits 0.196 eV/atom above it.

## a
A plane-wave DFT calculation with PBE was carried out for a geometry-optimized CaZr3Zn structure. Values from VASP.

The magnetization comes out at 0.0 μB/f.u. As for the density of states at the Fermi level: 8.435 states/eV/f.u.

Quantum ESPRESSO input file:
```
&SYSTEM
  ibrav = 0, nat = 5, ntyp = 3
/
ATOMIC_SPECIES
Zn 65.41 Zn.upf
Ca 40.08 Ca.upf
Zr 91.22 Zr.upf
ATOMIC_POSITIONS angstrom
Zn -1.587 -3.244 2.467
Ca 0.000 0.000 0.000
Zr -1.158 -2.065 -0.877
Zr 1.358 -1.431 1.577
Zr -1.787 0.252 1.767
CELL_PARAMETERS angstrom
-3.573 0.504 3.533
-2.317 -4.131 -1.754
2.715 -2.862 3.154
```

## b
A plane-wave DFT calculation with PBE was carried out for a geometry-optimized CaZr3Zn structure. Values from VASP.

The magnetization comes out at 0.0 μB/f.u. As for the density of states at the Fermi level: 11.073 states/eV/f.u.

Quantum ESPRESSO input file:
```
&SYSTEM
  ibrav = 0, nat = 5, ntyp = 3
/
ATOMIC_SPECIES
Zn 65.41 Zn.upf
Ca 40.08 Ca.upf
Zr 91.22 Zr.upf
ATOMIC_POSITIONS angstrom
Zn 0.000 0.000 0.000
Ca 2.571 2.571 2.571
Zr 0.000 2.571 0.000
Zr 0.000 0.000 2.571
Zr 2.571 0.000 0.000
CELL_PARAMETERS angstrom
5.142 0.000 0.000
0.000 5.142 0.000
0.000 0.000 5.142
```

b is the most stable structure; the next one sits 1.094 eV/atom above it.

## a
A plane-wave DFT calculation with PBE was carried out for a geometry-optimized CaZr structure. Values from VASP.

The magnetization comes out at 0.0 μB/f.u. As for the density of states at the Fermi level: 3.315 states/eV/f.u.

Quantum ESPRESSO input file:
```
&SYSTEM
  ibrav = 0, nat = 4, ntyp = 2
/
ATOMIC_SPECIES
Ca 40.08 Ca.upf
Zr 91.22 Zr.upf
ATOMIC_POSITIONS angstrom
Ca 0.000 0.000 0.000
Ca -2.748 -1.881 -0.557
Zr -3.908 0.840 -2.184
Zr -2.959 1.260 1.029
CELL_PARAMETERS angstrom
-4.119 3.981 -0.598
-3.697 -2.301 -3.769
2.110 -2.301 4.840
```

## b
A plane-wave DFT calculation with PBE was carried out for a geometry-optimized CaZr structure. Values from VASP.

The magnetization comes out at 0.6 μB/f.u. As for the density of states at the Fermi level: 1.837 states/eV/f.u.

Quantum ESPRESSO input file:
```
&SYSTEM
  ibrav = 0, nat = 16, ntyp = 2
/
ATOMIC_SPECIES
Ca 40.08 Ca.upf
Zr 91.22 Zr.upf
ATOMIC_POSITIONS angstrom
Ca -1.327 2.301 2.325
Ca 0.183 6.504 9.385
Ca -4.341 10.030 3.312
Ca -7.518 3.709 7.755
Ca -4.578 7.938 8.019
Ca -5.621 5.037 3.147
Ca -2.498 2.604 7.338
Ca -0.306 6.966 4.272
Zr -2.608 4.523 4.569
Zr -2.104 5.926 6.927
Zr -3.615 7.104 4.899
Zr -4.676 4.993 6.382
Zr -5.859 10.159 10.263
Zr -7.908 4.459 0.689
Zr -1.772 -0.323 8.925
Zr 2.537 8.250 2.900
CELL_PARAMETERS angstrom
-9.055 4.169 -0.544
-1.408 -1.790 9.721
3.962 8.893 2.212
```

## c
A plane-wave DFT calculation with PBE was carried out for a geometry-optimized CaZr structure. Values from VASP.

The magnetization comes out at 0.0 μB/f.u. As for the density of states at the Fermi level: 2.257 states/eV/f.u.

Quantum ESPRESSO input file:
```
&SYSTEM
  ibrav = 0, nat = 4, ntyp = 2
/
ATOMIC_SPECIES
Ca 40.08 Ca.upf
Zr 91.22 Zr.upf
ATOMIC_POSITIONS angstrom
Ca 0.000 0.000 0.012
Ca 0.000 2.574 2.283
Zr 1.673 0.000 3.960
Zr 1.673 2.574 5.220
CELL_PARAMETERS angstrom
3.345 0.000 0.000
0.000 5.147 0.000
0.000 0.000 6.885
```

## d
A plane-wave DFT calculation with PBE was carried out for a geometry-optimized CaZr structure. Values from VASP.

The magnetization comes out at 0.0 μB/f.u. As for the density of states at the Fermi level: 3.357 states/eV/f.u.

Quantum ESPRESSO input file:
```
&SYSTEM
  ibrav = 0, nat = 4, ntyp = 2
/
ATOMIC_SPECIES
Ca 40.08 Ca.upf
Zr 91.22 Zr.upf
ATOMIC_POSITIONS angstrom
Ca -1.586 -3.579 0.203
Ca 1.436 -1.830 -0.985
Zr -4.999 -3.501 0.315
Zr 4.849 -1.908 -1.097
CELL_PARAMETERS angstrom
-8.665 -0.687 -1.198
8.528 -1.083 -1.762
-0.012 -3.639 2.177
```

d is the most stable structure; the next one sits 0.108 eV/atom above it.

## a
A plane-wave DFT calculation with PBE was carried out for a geometry-optimized CaZr structure. Values from VASP.

The magnetization comes out at 0.0 μB/f.u. As for the density of states at the Fermi level: 1.963 states/eV/f.u.

Quantum ESPRESSO input file:
```
&SYSTEM
  ibrav = 0, nat = 12, ntyp = 2
/
ATOMIC_SPECIES
Ca 40.08 Ca.upf
Zr 91.22 Zr.upf
ATOMIC_POSITIONS angstrom
Ca -5.907 0.684 11.923
Ca 0.744 2.438 6.056
Ca -1.426 -1.221 4.985
Ca -5.707 -2.350 8.761
Ca 0.991 -1.290 0.738
Ca -3.490 0.615 7.677
Zr -8.491 -1.205 10.587
Zr 0.221 1.093 2.904
Zr -0.400 0.647 8.863
Zr -2.622 0.061 10.823
Zr 3.049 0.852 3.712
Zr -5.041 -0.999 5.436
CELL_PARAMETERS angstrom
-10.933 -2.883 9.643
1.639 -2.937 0.981
3.609 3.756 5.214
```

## b
A plane-wave DFT calculation with PBE was carried out for a geometry-optimized CaZr structure. Values from VASP.

The magnetization comes out at 0.0 μB/f.u. As for the density of states at the Fermi level: 1.584 states/eV/f.u.

Quantum ESPRESSO input file:
```
&SYSTEM
  ibrav = 0, nat = 4, ntyp = 2
/
ATOMIC_SPECIES
Ca 40.08 Ca.upf
Zr 91.22 Zr.upf
ATOMIC_POSITIONS angstrom
Ca 0.000 0.000 0.000
Ca 2.525 5.323 -0.773
Zr 2.512 2.271 1.003
Zr 3.378 8.441 0.649
CELL_PARAMETERS angstrom
-2.068 1.304 2.227
2.909 -1.238 0.971
5.049 10.646 -1.546
```

## c
A plane-wave DFT calculation with PBE was carried out for a geometry-optimized CaZr structure. Values from VASP.

The magnetization comes out at 0.0 μB/f.u. As for the density of states at the Fermi level: 1.663 states/eV/f.u.

Quantum ESPRESSO input file:
```
&SYSTEM
  ibrav = 0, nat = 4, ntyp = 2
/
ATOMIC_SPECIES
Ca 40.08 Ca.upf
Zr 91.22 Zr.upf
ATOMIC_POSITIONS angstrom
Ca 0.000 0.000 11.199
Ca 1.735 1.002 3.095
Zr 0.000 0.000 5.986
Zr 1.735 1.002 8.309
CELL_PARAMETERS angstrom
3.470 0.000 0.000
-1.735 3.005 0.000
0.000 0.000 11.436
```

c is the most stable structure; the next one sits 0.153 eV/atom above it.